[1]
Material: Cd2SnH
Method: DFT, GGA-PBE
State: optimized geometry

As for the density: 6.9 g/cm3. Its energy above the most stable polymorph in this dataset is 76.5 kJ/mol of formula units. Its space-group type is No. 225. Its magnetic moment is 0.39 μB per formula unit.

a = 4.8896 Å, b = 4.8896 Å, c = 4.8896 Å
α = 60.00°, β = 60.00°, γ = 60.00°
Atoms (fractional coordinates):
Cd 0.7500 0.7500 0.7500
Cd 0.2500 0.2500 0.2500
H 0.0000 0.0000 0.0000
Sn 0.5000 0.5000 0.5000



[2]
Material: Sr2CdSnH
Method: DFT, GGA-PBE
State: optimized geometry

The calculation puts the total energy at -13.72 eV for the cell shown. As for the density: 5.3 g/cm3. Its space-group type is No. 123. Its magnetic moment is 0.00 μB per formula unit.

a = 5.1717 Å, b = 5.1717 Å, c = 4.7837 Å
α = 90.00°, β = 90.00°, γ = 90.00°
Atoms (fractional coordinates):
Sr 0.0000 0.5000 0.0000
Sr 0.5000 0.0000 0.0000
Cd 0.0000 0.0000 0.5000
H 0.0000 0.0000 0.0000
Sn 0.5000 0.5000 0.5000



What is the formula in the first record? Cd2SnH



Please write out number 1 again, unchanged.
Material: Cd2SnH
Method: DFT, GGA-PBE
State: optimized geometry

As for the density: 6.9 g/cm3. Its energy above the most stable polymorph in this dataset is 76.5 kJ/mol of formula units. Its space-group type is No. 225. Its magnetic moment is 0.39 μB per formula unit.

a = 4.8896 Å, b = 4.8896 Å, c = 4.8896 Å
α = 60.00°, β = 60.00°, γ = 60.00°
Atoms (fractional coordinates):
Cd 0.7500 0.7500 0.7500
Cd 0.2500 0.2500 0.2500
H 0.0000 0.0000 0.0000
Sn 0.5000 0.5000 0.5000